Record 1
Sc3Tl | PBE-GGA | optimized geometry

Summary:
- SG: P6_3/mmc (194)
- Total energy: -5.55 eV per atom
- DFT formation energy: -0.83 eV/f.u.

Lattice parameters (Å, degrees): 6.4006 6.4006 5.2478 90.00 90.00 120.01
Last column: nearest neighbours and their distance in Å.
Element x y z (fractional)
Sc  0.8320  0.6643  0.2500  8 Sc 3.18-3.22, 4 Tl 3.20
Sc  0.1679  0.8321  0.7500  8 Sc 3.18-3.22, 4 Tl 3.20
Sc  0.6643  0.8320  0.7500  8 Sc 3.18-3.22, 4 Tl 3.20
Sc  0.8321  0.1679  0.2500  8 Sc 3.18-3.22, 4 Tl 3.20
Sc  0.1680  0.3357  0.7500  8 Sc 3.18-3.22, 4 Tl 3.20
Sc  0.3357  0.1680  0.2500  8 Sc 3.18-3.22, 4 Tl 3.20
Tl  0.6667  0.3333  0.7500  12 Sc 3.20
Tl  0.3333  0.6667  0.2500  12 Sc 3.20

Record 2
ReTc2HPd | PBE-GGA | optimized geometry

Summary:
- Offset from the most stable computed form: 8 meV per atom
- SG: P4/mmm (123)
- Total energy: -8.22 eV per atom

Lattice parameters (Å, degrees): 3.9341 3.9341 3.9329 90.00 90.00 90.00
Last column: nearest neighbours and their distance in Å.
Element x y z (fractional)
H  0.0000  0.0000  0.0000  2 Re 1.97, 4 Tc 1.97
Pd  0.5000  0.5000  0.5000  8 Tc 2.78, 4 Re 2.78
Tc  0.5000  0.0000  0.0000  2 H 1.97
Tc  0.0000  0.5000  0.0000  2 H 1.97
Re  0.0000  0.0000  0.5000  2 H 1.97

Record 3
CeNi2Os | PBE-GGA | optimized geometry

Summary:
- SG: R-3m (166)
- Total energy: -7.31 eV per atom
- DFT formation energy: -0.52 eV/f.u.

Lattice parameters (Å, degrees): 4.2155 4.2155 5.1535 65.86 65.86 60.00
Last column: nearest neighbours and their distance in Å.
Element x y z (fractional)
Ce  0.0000  0.0000  0.0000  2 Ni 2.67
Ni  0.8041  0.8041  0.5878  3 Os 2.47, 3 Ni 2.56, 1 Ce 2.67
Ni  0.1959  0.1959  0.4122  3 Os 2.47, 3 Ni 2.56, 1 Ce 2.67
Os  0.5000  0.5000  0.5000  6 Ni 2.47

Record 4
Zn2PRu | PBE-GGA | optimized geometry

Summary:
- SG: P4/mmm (123)
- Total energy: -4.03 eV per atom
- DFT formation energy: 1.10 eV/f.u.

Lattice parameters (Å, degrees): 2.7306 2.7306 8.0558 90.00 90.00 90.00
Last column: nearest neighbours and their distance in Å.
Element x y z (fractional)
Zn  0.0000  0.0000  0.7317  4 Ru 2.69, 4 Zn 2.73, 4 P 2.90
Zn  0.0000  0.0000  0.2683  4 Ru 2.69, 4 Zn 2.73, 4 P 2.90
Ru  0.5000  0.5000  0.5000  8 Zn 2.69, 4 Ru 2.73
P  0.5000  0.5000  0.0000  4 P 2.73, 8 Zn 2.90

Record 5
Cs2MgGe | PBE-GGA | optimized geometry

Summary:
- SG: Fm-3m (225)
- Total energy: -1.59 eV per atom
- DFT formation energy: 1.57 eV/f.u.

Lattice parameters (Å, degrees): 6.4881 6.4881 6.4881 60.00 60.00 60.00
Last column: nearest neighbours and their distance in Å.
Element x y z (fractional)
Cs  0.2500  0.2500  0.2500  4 Ge 3.97, 4 Mg 3.97
Cs  0.7500  0.7500  0.7500  4 Mg 3.97, 4 Ge 3.97
Ge  0.5000  0.5000  0.5000  8 Cs 3.97
Mg  0.0000  0.0000  0.0000  8 Cs 3.97

Record 6
Si2TcSb | PBE-GGA | optimized geometry

Summary:
- Formation energy without anion corrections: 0.454 eV/f.u.
- SG: Pm (6)
- Total energy: -6.22 eV per atom

Lattice parameters (Å, degrees): 4.1352 3.5803 4.9888 69.16 90.00 90.00
Last column: nearest neighbours and their distance in Å.
Element x y z (fractional)
Sb  0.5000  0.7238  0.6803  3 Si 2.51-2.80
Si  0.5000  0.4514  0.2191  2 Tc 2.45, 1 Sb 2.51
Si  0.0000  0.0114  0.1008  3 Tc 2.58-2.80, 4 Si 2.79
Tc  0.0000  0.3133  0.4998  4 Si 2.45-2.58

Record 7
LaPmNiSb | PBE-GGA | optimized geometry

Summary:
- Formation energy without anion corrections: -1.951 eV/f.u.
- SG: F-43m (216)
- Total energy: -5.38 eV per atom

Lattice parameters (Å, degrees): 5.2955 5.2955 5.2955 60.00 60.00 60.00
Last column: nearest neighbours and their distance in Å.
Element x y z (fractional)
Pm  0.0000  0.0000  0.0000  4 Ni 3.24, 4 Sb 3.24
Ni  0.7500  0.7500  0.7500  4 Pm 3.24, 4 La 3.24
Sb  0.2500  0.2500  0.2500  4 La 3.24, 4 Pm 3.24
La  0.5000  0.5000  0.5000  4 Sb 3.24, 4 Ni 3.24

Record 8
Pu2TlPb9 | PBE-GGA | optimized geometry

Summary:
- SG: P4/mmm (123)
- Total energy: -5.35 eV per atom
- DFT formation energy: 0.15 eV/f.u.

Lattice parameters (Å, degrees): 5.8329 5.8329 10.7120 90.00 90.00 90.00
Last column: nearest neighbours and their distance in Å.
Element x y z (fractional)
Pb  0.5000  0.5000  0.0000  10 Pb 3.42-3.55
Pb  0.5000  0.0000  0.8326  6 Pb 3.41-3.59, 2 Tl 3.42, 2 Pu 3.44
Pb  0.5000  0.0000  0.1674  6 Pb 3.41-3.59, 2 Tl 3.42, 2 Pu 3.44
Pb  0.0000  0.5000  0.5000  4 Pu 3.39, 6 Pb 3.43-3.56
Pb  0.5000  0.5000  0.6682  10 Pb 3.41-3.60
Pb  0.0000  0.5000  0.8326  6 Pb 3.41-3.59, 2 Tl 3.42, 2 Pu 3.44
Pb  0.5000  0.5000  0.3318  10 Pb 3.41-3.60
Pb  0.5000  0.0000  0.5000  4 Pu 3.39, 6 Pb 3.43-3.56
Pb  0.0000  0.5000  0.1674  6 Pb 3.41-3.59, 2 Tl 3.42, 2 Pu 3.44
Pu  0.0000  0.0000  0.6619  8 Pb 3.39-3.44, 1 Pu 3.47, 1 Tl 3.62
Pu  0.0000  0.0000  0.3381  8 Pb 3.39-3.44, 1 Pu 3.47, 1 Tl 3.62
Tl  0.0000  0.0000  0.0000  8 Pb 3.42, 2 Pu 3.62